No. 1
## YZr2In (PBE)

Data for a relaxed structure of YZr2In.

Output
Formation enthalpy at 0 K in eV per atom: -0.0619
Energy above the most stable polymorph in this dataset in meV per atom: 173

Lattice parameters (Å, degrees): 6.2665 6.2665 6.2665 148.51 128.71 61.44
Closest atoms and distances in Å follow each position.
Atoms (fractional coordinates):
In 0.5094 0.5094 0.0000  6 Zr 3.08-3.21, 2 Y 3.22, 2 In 3.40
Y 0.2555 0.7555 0.5000  6 Zr 3.20-3.35, 2 In 3.22, 2 Y 3.40
Zr 0.9877 0.9877 0.0000  4 Zr 3.10-3.40, 4 In 3.21, 2 Y 3.35
Zr 0.7474 0.2474 0.5000  2 In 3.08, 4 Zr 3.10-3.40, 4 Y 3.20

No. 2
## YZr2In (PBE)

Data for a relaxed structure of YZr2In.

Output
Formation enthalpy at 0 K in eV per atom: -0.2352
Energy above the most stable polymorph in this dataset in meV per atom: 0

Lattice parameters (Å, degrees): 4.5969 4.1631 11.0457 100.90 90.00 90.00
Closest atoms and distances in Å follow each position.
Atoms (fractional coordinates):
Y 0.2500 0.3072 0.6147  5 In 3.18-3.21
Y 0.7500 0.6928 0.3853  5 In 3.18-3.21
Zr 0.7500 0.4475 0.8951  8 Zr 3.08-3.23, 2 In 3.11-3.12
Zr 0.2500 0.5525 0.1049  8 Zr 3.08-3.23, 2 In 3.11-3.12
Zr 0.2500 0.9474 0.8953  8 Zr 3.08-3.23, 2 In 3.26
Zr 0.7500 0.0526 0.1047  8 Zr 3.08-3.23, 2 In 3.26
In 0.7500 0.8407 0.6815  4 Zr 3.11-3.26, 5 Y 3.18-3.21
In 0.2500 0.1593 0.3185  4 Zr 3.11-3.26, 5 Y 3.18-3.21

No. 3
## YZr2In (PBE)

Data for a relaxed structure of YZr2In.

Output
Formation enthalpy at 0 K in eV per atom: -0.1693
Energy above the most stable polymorph in this dataset in meV per atom: 66

Lattice parameters (Å, degrees): 5.7360 5.7360 5.7360 133.75 133.75 67.48
Closest atoms and distances in Å follow each position.
Atoms (fractional coordinates):
In 0.2500 0.7500 0.5000  4 Y 3.19, 8 Zr 3.28
Y 0.7500 0.2500 0.5000  4 In 3.19, 8 Zr 3.28
Zr 0.0000 0.0000 0.0000  4 Zr 3.19, 4 In 3.28, 4 Y 3.28
Zr 0.5000 0.5000 0.0000  4 Zr 3.19, 4 Y 3.28, 4 In 3.28

No. 4
## YZr2In (PBE)

Data for a relaxed structure of YZr2In.

Output
Formation enthalpy at 0 K in eV per atom: -0.0381
Energy above the most stable polymorph in this dataset in meV per atom: 197

Lattice parameters (Å, degrees): 5.6959 5.6959 3.2181 90.00 90.00 110.15
Closest atoms and distances in Å follow each position.
Atoms (fractional coordinates):
In 0.5000 0.0000 0.5000  2 In 3.22, 2 Y 3.26, 8 Zr 3.27
Y 0.0000 0.5000 0.5000  2 Y 3.22, 2 In 3.26, 8 Zr 3.27
Zr 0.0000 0.0000 0.0000  4 Zr 3.22-3.26, 4 Y 3.27, 4 In 3.27
Zr 0.5000 0.5000 0.0000  4 Zr 3.22-3.26, 4 In 3.27, 4 Y 3.27